Density functional theory data (PBE) for a relaxed Pr3ThPa2P6 crystal.

Calculated values
total DFT energy (no corrections) = -7.56 eV/atom
size of the total moment = 0.0 Bohr magnetons per cell
volume = 588.4 Å³/cell

```
data_Pr3ThPa2P6
_chemical_formula_sum 'Pr6 Th2 Pa4 P12'
_cell_length_a 7.108
_cell_length_b 12.310
_cell_length_c 7.130
_cell_angle_alpha 90.00
_cell_angle_beta 109.39
_cell_angle_gamma 90.00
_symmetry_space_group_name_H-M 'C 1 2/m 1'
_symmetry_Int_Tables_number 12
loop_
_symmetry_equiv_pos_as_xyz
'x,y,z'
'-x,-y,-z'
'-x,y,-z'
'x,-y,z'
'x+1/2,y+1/2,z'
'-x+1/2,-y+1/2,-z'
'-x+1/2,y+1/2,-z'
'x+1/2,-y+1/2,z'
loop_
_atom_site_label
_atom_site_fract_x
_atom_site_fract_y
_atom_site_fract_z
Pr1 0.000 0.000 0.000
Pr2 0.000 0.335 0.000
Th1 0.000 0.500 0.500
Pa1 0.000 0.167 0.500
P1 0.235 0.000 0.734
P2 0.249 0.329 0.734
```



Density functional theory data (PBE) for a relaxed Pr3Th2PaP6 crystal.

Calculated values
total DFT energy (no corrections) = -7.44 eV/atom
size of the total moment = 0.0 Bohr magnetons per cell
volume = 602.3 Å³/cell

```
data_Pr3Th2PaP6
_chemical_formula_sum 'Pr6 Th4 Pa2 P12'
_cell_length_a 7.167
_cell_length_b 12.418
_cell_length_c 7.177
_cell_angle_alpha 90.00
_cell_angle_beta 109.45
_cell_angle_gamma 90.00
_symmetry_space_group_name_H-M 'C 1 2/m 1'
_symmetry_Int_Tables_number 12
loop_
_symmetry_equiv_pos_as_xyz
'x,y,z'
'-x,-y,-z'
'-x,y,-z'
'x,-y,z'
'x+1/2,y+1/2,z'
'-x+1/2,-y+1/2,-z'
'-x+1/2,y+1/2,-z'
'x+1/2,-y+1/2,z'
loop_
_atom_site_label
_atom_site_fract_x
_atom_site_fract_y
_atom_site_fract_z
Pr1 0.000 0.000 0.000
Pr2 0.000 0.332 0.000
Th1 0.000 0.166 0.500
Pa1 0.000 0.500 0.500
P1 0.241 0.338 0.738
P2 0.244 0.500 0.262
```



Density functional theory data (PBE) for a relaxed Pr2ThPaP4 crystal.

Calculated values
total DFT energy (no corrections) = -7.50 eV/atom
size of the total moment = 0.0 Bohr magnetons per cell
volume = 198.5 Å³/cell

```
data_Pr2ThPaP4
_chemical_formula_sum 'Pr2 Th1 Pa1 P4'
_cell_length_a 7.139
_cell_length_b 4.122
_cell_length_c 7.152
_cell_angle_alpha 90.00
_cell_angle_beta 109.39
_cell_angle_gamma 90.00
_symmetry_space_group_name_H-M 'P 1 2/m 1'
_symmetry_Int_Tables_number 10
loop_
_symmetry_equiv_pos_as_xyz
'x,y,z'
'-x,-y,-z'
'-x,y,-z'
'x,-y,z'
loop_
_atom_site_label
_atom_site_fract_x
_atom_site_fract_y
_atom_site_fract_z
Pr1 0.000 0.000 0.000
Pr2 0.500 0.500 0.000
Th1 0.000 0.500 0.500
Pa1 0.500 0.000 0.500
P1 0.254 0.000 0.738
P2 0.263 0.500 0.266
```



Density functional theory data (PBE) for a relaxed Pr3Tm2PaP6 crystal.

Calculated values
total DFT energy (no corrections) = -6.96 eV/atom
size of the total moment = 0.0 Bohr magnetons per cell
volume = 573.8 Å³/cell

```
data_Pr3Tm2PaP6
_chemical_formula_sum 'Pr6 Tm4 Pa2 P12'
_cell_length_a 7.036
_cell_length_b 12.187
_cell_length_c 7.089
_cell_angle_alpha 90.00
_cell_angle_beta 109.29
_cell_angle_gamma 90.00
_symmetry_space_group_name_H-M 'C 1 2/m 1'
_symmetry_Int_Tables_number 12
loop_
_symmetry_equiv_pos_as_xyz
'x,y,z'
'-x,-y,-z'
'-x,y,-z'
'x,-y,z'
'x+1/2,y+1/2,z'
'-x+1/2,-y+1/2,-z'
'-x+1/2,y+1/2,-z'
'x+1/2,-y+1/2,z'
loop_
_atom_site_label
_atom_site_fract_x
_atom_site_fract_y
_atom_site_fract_z
Pr1 0.000 0.000 0.000
Pr2 0.000 0.332 0.000
Tm1 0.000 0.166 0.500
Pa1 0.000 0.500 0.500
P1 0.242 0.335 0.732
P2 0.248 0.000 0.732
```



Density functional theory data (PBE) for a relaxed PrTm2PaP4 crystal.

Calculated values
total DFT energy (no corrections) = -7.10 eV/atom
size of the total moment = 0.0 Bohr magnetons per cell
volume = 182.3 Å³/cell

```
data_PrTm2PaP4
_chemical_formula_sum 'Pr1 Tm2 Pa1 P4'
_cell_length_a 6.903
_cell_length_b 4.018
_cell_length_c 6.973
_cell_angle_alpha 90.00
_cell_angle_beta 109.49
_cell_angle_gamma 90.00
_symmetry_space_group_name_H-M 'P 1 2/m 1'
_symmetry_Int_Tables_number 10
loop_
_symmetry_equiv_pos_as_xyz
'x,y,z'
'-x,-y,-z'
'-x,y,-z'
'x,-y,z'
loop_
_atom_site_label
_atom_site_fract_x
_atom_site_fract_y
_atom_site_fract_z
Pr1 0.000 0.000 0.000
Tm1 0.500 0.000 0.500
Tm2 0.500 0.500 0.000
Pa1 0.000 0.500 0.500
P1 0.254 0.000 0.743
P2 0.258 0.500 0.264
```



Density functional theory data (PBE) for a relaxed Pr2TmPaP4 crystal.

Calculated values
total DFT energy (no corrections) = -7.14 eV/atom
size of the total moment = 0.0 Bohr magnetons per cell
volume = 191.3 Å³/cell

```
data_Pr2TmPaP4
_chemical_formula_sum 'Pr2 Tm1 Pa1 P4'
_cell_length_a 7.012
_cell_length_b 4.075
_cell_length_c 7.096
_cell_angle_alpha 90.00
_cell_angle_beta 109.38
_cell_angle_gamma 90.00
_symmetry_space_group_name_H-M 'P 1 2/m 1'
_symmetry_Int_Tables_number 10
loop_
_symmetry_equiv_pos_as_xyz
'x,y,z'
'-x,-y,-z'
'-x,y,-z'
'x,-y,z'
loop_
_atom_site_label
_atom_site_fract_x
_atom_site_fract_y
_atom_site_fract_z
Pr1 0.000 0.000 0.000
Pr2 0.500 0.500 0.000
Tm1 0.000 0.500 0.500
Pa1 0.500 0.000 0.500
P1 0.247 0.000 0.731
P2 0.258 0.500 0.269
```